The following is a DFT calculation (GGA-PBE) of MgMnFeRu after structural relaxation.

Structure (POSCAR):
```
MgMnFeRu
1.0
4.337 0.000 0.000
2.168 3.756 0.000
2.168 1.252 3.541
Ru Mg Mn Fe
1 1 1 1
direct
0.250 0.250 0.250
0.750 0.750 0.750
0.000 0.000 0.000
0.500 0.500 0.500
```

Computed properties:
size of the total moment = 7.035 Bohr magnetons per cell
formation energy = 0.81 eV per formula unit



The following is a DFT calculation (GGA-PBE) of MgMnFeS4 after structural relaxation.

Structure (POSCAR):
```
MgMnFeS4
1.0
0.697 -7.027 -0.400
-5.487 -0.760 4.398
-0.729 3.802 -5.919
Mg Mn Fe S
2 2 2 8
direct
0.627 0.377 0.250
0.373 0.623 0.750
0.000 0.500 0.000
0.000 0.000 0.500
0.500 0.000 0.500
0.000 0.000 0.000
0.208 0.230 0.977
0.243 0.202 0.459
0.243 0.785 0.041
0.247 0.770 0.477
0.757 0.215 0.959
0.753 0.230 0.523
0.792 0.770 0.023
0.757 0.798 0.541
```

Computed properties:
size of the total moment = 6.059 Bohr magnetons per cell
formation energy from raw total energies = -0.661 eV per atom



The following is a DFT calculation (GGA-PBE) of Mg2Mn3FeS8 after structural relaxation.

Structure (POSCAR):
```
Mg2Mn3FeS8
1.0
6.229 -3.584 0.000
6.229 3.584 0.000
4.166 0.000 5.856
Mg Mn Fe S
2 3 1 8
direct
0.126 0.126 0.126
0.874 0.874 0.874
0.000 0.500 0.500
0.500 0.000 0.500
0.500 0.500 0.000
0.500 0.500 0.500
0.264 0.264 0.264
0.291 0.728 0.728
0.728 0.728 0.291
0.728 0.291 0.728
0.272 0.272 0.709
0.272 0.709 0.272
0.736 0.736 0.736
0.709 0.272 0.272
```

Computed properties:
size of the total moment = 11.032 Bohr magnetons per cell
formation energy from raw total energies = -0.698 eV per atom



The following is a DFT calculation (GGA-PBE) of SrMgMn2Fe after structural relaxation.

Structure (POSCAR):
```
SrMgMn2Fe
1.0
5.084 0.000 0.000
0.000 5.084 0.000
0.000 0.000 4.626
Sr Mg Mn Fe
1 1 2 1
direct
0.000 0.000 0.000
0.500 0.500 0.500
0.000 0.500 0.000
0.500 0.000 0.000
0.000 0.000 0.500
```

Computed properties:
size of the total moment = 7.232 Bohr magnetons per cell
formation energy = 9.95 eV per formula unit



The following is a DFT calculation (GGA-PBE) of MgMnFeTc2 after structural relaxation.

Structure (POSCAR):
```
MgMnFeTc2
1.0
4.420 0.000 0.000
0.000 4.358 0.000
0.000 0.000 4.420
Mg Mn Tc Fe
1 1 2 1
direct
0.500 0.500 0.500
0.000 0.000 0.000
0.000 0.000 0.500
0.500 0.000 0.000
0.000 0.500 0.000
```

Computed properties:
size of the total moment = 2.503 Bohr magnetons per cell
formation energy = 4.77 eV per formula unit



The following is a DFT calculation (GGA-PBE) of MgMn2VFe after structural relaxation.

Structure (POSCAR):
```
MgMn2VFe
1.0
4.234 0.000 0.000
0.000 4.556 0.000
0.000 0.000 4.234
Mg Mn Fe V
1 2 1 1
direct
0.000 0.500 0.000
0.000 0.000 0.500
0.500 0.000 0.000
0.000 0.000 0.000
0.500 0.500 0.500
```

Computed properties:
size of the total moment = 5.351 Bohr magnetons per cell
formation energy = 5.75 eV per formula unit



The following is a DFT calculation (GGA-PBE) of MgMnZnFe after structural relaxation.

Structure (POSCAR):
```
MgMnZnFe
1.0
-0.222 -4.082 -1.255
3.100 -1.660 -2.433
2.690 -2.891 1.642
Mg Zn Mn Fe
1 1 1 1
direct
0.000 0.000 0.000
0.750 0.750 0.750
0.500 0.500 0.500
0.250 0.250 0.250
```

Computed properties:
size of the total moment = 4.425 Bohr magnetons per cell
formation energy = 0.81 eV per formula unit



The following is a DFT calculation (GGA-PBE) of Mg2FeMo after structural relaxation.

Structure (POSCAR):
```
Mg2FeMo
1.0
9.616 0.023 0.014
9.195 2.815 0.014
9.195 1.387 2.449
Fe Mg Mo
1 2 1
direct
0.250 0.250 0.250
0.996 0.996 0.996
0.504 0.504 0.504
0.750 0.750 0.750
```

Computed properties:
size of the total moment = 2.696 Bohr magnetons per cell
formation energy = 1.64 eV per formula unit



The lowest size of the total moment belongs to which entry?
MgMnFeTc2



What did the second record say?
The following is a DFT calculation (GGA-PBE) of MgMnFeS4 after structural relaxation.

Structure (POSCAR):
```
MgMnFeS4
1.0
0.697 -7.027 -0.400
-5.487 -0.760 4.398
-0.729 3.802 -5.919
Mg Mn Fe S
2 2 2 8
direct
0.627 0.377 0.250
0.373 0.623 0.750
0.000 0.500 0.000
0.000 0.000 0.500
0.500 0.000 0.500
0.000 0.000 0.000
0.208 0.230 0.977
0.243 0.202 0.459
0.243 0.785 0.041
0.247 0.770 0.477
0.757 0.215 0.959
0.753 0.230 0.523
0.792 0.770 0.023
0.757 0.798 0.541
```

Computed properties:
size of the total moment = 6.059 Bohr magnetons per cell
formation energy from raw total energies = -0.661 eV per atom